Run a
Below is InTe2Se2 after structural relaxation, with properties calculated at the PBE level.

As for the spin magnetization: 0.00 μB/f.u. The calculation puts the density of states at the Fermi level at 0.495 states/eV per atom.

It has space group I4/mmm (No. 139), with a = 5.665 Å, b = 5.665 Å, c = 10.964 Å, α = 90.00°, β = 90.00° and γ = 90.00°. The distinct sites, in fractional coordinates, are In at (0.000, 0.000, 0.000), Te at (0.000, 0.000, 0.303) and Se at (0.000, 0.500, 0.250).

***

Run b
Below is InTe2Se2 after structural relaxation, with properties calculated at the PBE level.

As for the spin magnetization: 0.00 μB/f.u. The calculation puts the density of states at the Fermi level at 0.585 states/eV per atom.

It has space group P4/mbm (No. 127), with a = 8.491 Å, b = 8.491 Å, c = 3.844 Å, α = 90.00°, β = 90.00° and γ = 90.00°. The distinct sites, in fractional coordinates, are In at (0.000, 0.000, 0.000), Te at (0.146, 0.354, 0.000) and Se at (0.182, 0.682, 0.500).

***

Which structure loses on stability? run b does.

***

Run a
Below is In3TeSe2 after structural relaxation, with properties calculated at the PBE level.

As for the spin magnetization: 0.00 μB/f.u. The calculation puts the density of states at the Fermi level at 0.509 states/eV per atom.

It has space group Cmcm (No. 63), with a = 10.755 Å, b = 9.088 Å, c = 7.527 Å, α = 90.00°, β = 90.00° and γ = 90.00°. The distinct sites, in fractional coordinates, are In at (0.000, 0.161, 0.250), In at (0.169, 0.423, 0.250), Te at (0.000, 0.336, 0.750) and Se at (0.162, 0.000, 0.000).

***

Run b
Below is In3TeSe2 after structural relaxation, with properties calculated at the PBE level.

As for the spin magnetization: 0.00 μB/f.u. The calculation puts the density of states at the Fermi level at 0.502 states/eV per atom.

It has space group Imm2 (No. 44), with a = 4.414 Å, b = 11.983 Å, c = 7.716 Å, α = 90.00°, β = 90.00° and γ = 90.00°. The distinct sites, in fractional coordinates, are In at (0.000, 0.000, 0.000), In at (0.000, 0.366, 0.114), Te at (0.000, 0.500, 0.724) and Se at (0.000, 0.196, 0.836).

***

Which structure loses on stability? run a does.

***

Run a
Below is TiIn3Se after structural relaxation, with properties calculated at the PBE level.

As for the spin magnetization: 2.89 μB/f.u. The calculation puts the density of states at the Fermi level at 1.867 states/eV per atom.

It has space group Pm-3m (No. 221), with a = 5.451 Å, b = 5.451 Å, c = 5.451 Å, α = 90.00°, β = 90.00° and γ = 90.00°. The distinct sites, in fractional coordinates, are Ti at (0.000, 0.000, 0.000), In at (0.000, 0.000, 0.500) and Se at (0.500, 0.500, 0.500).

***

Run b
Below is TiIn3Se after structural relaxation, with properties calculated at the PBE level.

As for the spin magnetization: 0.00 μB/f.u. The calculation puts the density of states at the Fermi level at 2.606 states/eV per atom.

It has space group Pm-3m (No. 221), with a = 5.338 Å, b = 5.338 Å, c = 5.338 Å, α = 90.00°, β = 90.00° and γ = 90.00°. The distinct sites, in fractional coordinates, are Ti at (0.000, 0.000, 0.000), In at (0.000, 0.500, 0.500) and Se at (0.500, 0.500, 0.500).

***

Which structure loses on stability? run b does.

***

Run a
Below is Tl5InSe4 after structural relaxation, with properties calculated at the PBE level.

As for the spin magnetization: 0.00 μB/f.u. The calculation puts the density of states at the Fermi level at 0.012 states/eV per atom.

It has space group C2/m (No. 12), with a = 18.731 Å, b = 4.236 Å, c = 8.522 Å, α = 90.00°, β = 109.13° and γ = 90.00°. The distinct sites, in fractional coordinates, are Tl at (0.000, 0.000, 0.000), Tl at (0.156, 0.500, 0.295), Tl at (0.192, 0.500, 0.817), In at (0.000, 0.000, 0.500), Se at (0.023, 0.500, 0.736) and Se at (0.155, 0.000, 0.544).

***

Run b
Below is Tl5InSe4 after structural relaxation, with properties calculated at the PBE level.

As for the spin magnetization: 0.00 μB/f.u.

It has space group Pmmn (No. 59, origin choice 2), with a = 8.684 Å, b = 10.779 Å, c = 7.611 Å, α = 90.00°, β = 90.00° and γ = 90.00°. The distinct sites, in fractional coordinates, are Tl at (0.037, 0.047, 0.226), Tl at (0.250, 0.250, 0.556), In at (0.250, 0.750, 0.349), Se at (0.002, 0.250, 0.839) and Se at (0.250, 0.551, 0.550).

***

Which structure loses on stability? run a does.